*A*
Here is a relaxed Er8InAg2 crystal from Alexandria via LeMat-Bulk. Energies are from GGA-PBE.

Structure (POSCAR):
```
Er8InAg2
1.0
-4.235 -1.666 -2.365
3.437 -7.274 -1.030
-2.126 1.958 7.988
Er In Ag
8 1 2
Direct
0.603 0.465 0.206
0.314 0.034 0.627
0.152 0.212 0.303
0.061 0.732 0.122
0.848 0.788 0.697
0.686 0.966 0.373
0.397 0.535 0.794
0.939 0.268 0.878
0.500 0.000 0.000
0.213 0.623 0.425
0.787 0.377 0.575
```

Output
**Crystal system**: monoclinic
**Volume**: 27.3 A^3/atom

*B*
Here is a relaxed Er8InAg2 crystal from Alexandria via LeMat-Bulk. Energies are from GGA-PBE.

Structure (POSCAR):
```
Er8InAg2
1.0
-4.839 -1.770 1.508
4.797 -5.834 3.458
-0.027 7.485 3.604
Er In Ag
8 1 2
Direct
0.897 0.908 0.673
0.897 0.673 0.908
0.304 0.605 0.605
0.500 0.772 0.228
0.500 0.228 0.772
0.696 0.395 0.395
0.103 0.327 0.092
0.103 0.092 0.327
0.500 0.000 0.000
0.000 0.305 0.695
0.000 0.695 0.305
```

Output
**Crystal system**: monoclinic
**Volume**: 28.3 A^3/atom

Stability ranking, top and bottom: *A* is the most stable and *B* is the least stable.

*A*
Here is a relaxed Er4InAg2 crystal from Alexandria via LeMat-Bulk. Energies are from GGA-PBE.

Structure (POSCAR):
```
Er4InAg2
1.0
4.944 0.000 0.000
2.472 4.281 0.000
2.472 1.427 9.401
Er In Ag
4 1 2
Direct
0.379 0.379 0.862
0.205 0.205 0.385
0.795 0.795 0.615
0.621 0.621 0.138
0.000 0.000 0.000
0.100 0.100 0.699
0.900 0.900 0.301
```

Output
**Crystal system**: trigonal
**Volume**: 28.4 A^3/atom

*B*
Here is a relaxed Er4InAg2 crystal from Alexandria via LeMat-Bulk. Energies are from GGA-PBE.

Structure (POSCAR):
```
Er4InAg2
1.0
-1.350 -4.663 -1.606
3.596 -3.439 -1.178
0.737 -5.345 6.756
In Ag Er
1 2 4
Direct
0.000 0.000 0.000
0.745 0.745 0.765
0.255 0.255 0.235
0.869 0.869 0.393
0.131 0.131 0.607
0.615 0.615 0.156
0.385 0.385 0.844
```

Output
**Crystal system**: trigonal
**Volume**: 26.3 A^3/atom

Stability ranking, top and bottom: *B* is the most stable and *A* is the least stable.

*A*
Here is a relaxed Er3In3Ag2 crystal from Alexandria via LeMat-Bulk. Energies are from GGA-PBE.

Structure (POSCAR):
```
Er3In3Ag2
1.0
4.590 0.000 0.000
0.000 4.786 -0.206
-2.295 -2.014 8.679
Er In Ag
3 3 2
Direct
0.859 0.359 0.719
0.141 0.641 0.281
0.000 0.000 0.000
0.361 0.861 0.723
0.500 0.500 0.000
0.639 0.139 0.277
0.754 0.754 0.507
0.246 0.246 0.493
```

Output
**Crystal system**: monoclinic
**Volume**: 23.6 A^3/atom

*B*
Here is a relaxed Er3In3Ag2 crystal from Alexandria via LeMat-Bulk. Energies are from GGA-PBE.

Structure (POSCAR):
```
Er3In3Ag2
1.0
3.736 0.000 0.000
0.000 6.724 -3.882
0.000 0.000 7.764
Er In Ag
3 3 2
Direct
0.500 0.403 0.403
0.500 0.597 0.000
0.500 0.000 0.597
0.000 0.761 0.761
0.000 0.239 0.000
0.000 0.000 0.239
0.000 0.333 0.667
0.000 0.667 0.333
```

Output
**Crystal system**: hexagonal
**Volume**: 24.4 A^3/atom

Stability ranking, top and bottom: *B* is the most stable and *A* is the least stable.

*A*
Here is a relaxed ErInAgPb crystal from Alexandria via LeMat-Bulk. Energies are from GGA-PBE.

Structure (POSCAR):
```
ErInAgPb
1.0
-0.128 -4.417 0.488
4.008 -0.349 -2.108
2.248 0.399 4.208
Er In Ag Pb
1 1 1 1
Direct
0.000 0.500 0.500
0.500 0.500 0.000
0.000 0.000 0.000
0.500 0.000 0.500
```

Output
**Crystal system**: orthorhombic
**Volume**: 24.2 A^3/atom

*B*
Here is a relaxed ErInAgPb crystal from Alexandria via LeMat-Bulk. Energies are from GGA-PBE.

Structure (POSCAR):
```
ErInAgPb
1.0
-0.095 -4.742 2.115
2.537 -3.913 -2.285
4.283 -1.950 2.195
Pb In Ag Er
1 1 1 1
Direct
0.000 0.000 0.000
0.500 0.500 0.500
0.250 0.250 0.250
0.750 0.750 0.750
```

Output
**Crystal system**: cubic
**Volume**: 24.8 A^3/atom

Stability ranking, top and bottom: *A* is the most stable and *B* is the least stable.

*A*
Here is a relaxed Er4AgIr2 crystal from Alexandria via LeMat-Bulk. Energies are from GGA-PBE.

Structure (POSCAR):
```
Er4AgIr2
1.0
-3.313 -0.149 3.542
-3.954 -2.770 -0.490
1.392 -7.003 4.331
Ir Ag Er
2 1 4
Direct
0.749 0.749 0.753
0.251 0.251 0.247
0.000 0.000 0.000
0.871 0.871 0.386
0.129 0.129 0.614
0.620 0.620 0.139
0.380 0.380 0.861
```

Output
**Crystal system**: trigonal
**Volume**: 22.9 A^3/atom

*B*
Here is a relaxed Er4AgIr2 crystal from Alexandria via LeMat-Bulk. Energies are from GGA-PBE.

Structure (POSCAR):
```
Er4AgIr2
1.0
7.237 -0.854 -0.094
-1.424 7.206 0.123
-2.828 -3.261 6.366
Er Ag Ir
8 2 4
Direct
0.007 0.248 0.389
0.374 0.495 0.215
0.840 0.605 0.587
0.753 0.136 0.748
0.409 0.030 0.286
0.255 0.137 0.752
0.503 0.767 0.913
0.869 0.609 0.111
0.258 0.737 0.507
0.001 0.979 0.993
0.493 0.388 0.634
0.753 0.874 0.380
0.623 0.244 0.120
0.110 0.502 0.865
```

Output
**Crystal system**: triclinic
**Volume**: 23.2 A^3/atom

Stability ranking, top and bottom: *A* is the most stable and *B* is the least stable.

*A*
Here is a relaxed LaEr2Ag crystal from Alexandria via LeMat-Bulk. Energies are from GGA-PBE.

Structure (POSCAR):
```
LaEr2Ag
1.0
3.595 0.000 0.000
1.798 3.114 0.000
1.798 1.038 10.483
La Ag Er
1 1 2
Direct
0.500 0.500 0.500
0.000 0.000 0.000
0.261 0.261 0.217
0.739 0.739 0.783
```

Output
**Crystal system**: trigonal
**Volume**: 29.3 A^3/atom

*B*
Here is a relaxed LaEr2Ag crystal from Alexandria via LeMat-Bulk. Energies are from GGA-PBE.

Structure (POSCAR):
```
LaEr2Ag
1.0
3.632 0.000 0.000
0.000 3.632 0.000
0.000 0.000 8.706
La Ag Er
1 1 2
Direct
0.500 0.500 0.500
0.500 0.500 0.000
0.000 0.000 0.797
0.000 0.000 0.203
```

Output
**Crystal system**: tetragonal
**Volume**: 28.7 A^3/atom

*C*
Here is a relaxed LaEr2Ag crystal from Alexandria via LeMat-Bulk. Energies are from GGA-PBE.

Structure (POSCAR):
```
LaEr2Ag
1.0
3.624 -0.003 -0.001
1.810 3.140 -0.001
1.808 1.044 10.453
La Er Ag
1 2 1
Direct
0.500 0.500 0.499
0.071 0.071 0.788
0.262 0.262 0.212
0.666 0.666 0.001
```

Output
**Crystal system**: trigonal
**Volume**: 29.8 A^3/atom

*D*
Here is a relaxed LaEr2Ag crystal from Alexandria via LeMat-Bulk. Energies are from GGA-PBE.

Structure (POSCAR):
```
LaEr2Ag
1.0
-3.849 -2.738 1.496
0.146 -2.453 -4.113
3.013 -3.151 1.986
La Ag Er
1 1 2
Direct
0.500 0.000 0.000
0.500 0.500 0.500
0.000 0.000 0.500
0.000 0.500 0.000
```

Output
**Crystal system**: tetragonal
**Volume**: 28.4 A^3/atom

Stability ranking, top and bottom: *B* is the most stable and *D* is the least stable.